[1]
# Pm4Pr2Cd PBE optimized geometry
data_Pm4Pr2Cd
_cell_length_a 8.888
_cell_length_b 8.888
_cell_length_c 8.433
_cell_angle_alpha 116.66
_cell_angle_beta 116.66
_cell_angle_gamma 23.81
_space_group_name_H-M_alt 'P 1'
_space_group_IT_number 1
_space_group_name_Hall 'P 1'
loop_
_atom_site_label
_atom_site_type_symbol
_atom_site_fract_x
_atom_site_fract_y
_atom_site_fract_z
_atom_site_occupancy
Pm1 Pm 0.059 0.059 0.239 1
Pm2 Pm 0.355 0.355 0.031 1
Pm3 Pm 0.645 0.645 0.969 1
Pm4 Pm 0.941 0.941 0.761 1
Pr1 Pr 0.288 0.288 0.372 1
Pr2 Pr 0.712 0.712 0.628 1
Cd1 Cd 0.500 0.500 0.500 1
# - Formation enthalpy at 0 K: 0.01 eV/atom
# - Energy above the lowest structure with this stoichiometry: 42 meV per atom
# - Spin magnetization: 0.00 μB per formula unit
# - Electronic total energy: -4.199 eV per atom
# - N(E_F): 1.405 states/eV/atom


[2]
# NiMo2Br PBE optimized geometry
data_NiMo2Br
_cell_length_a 8.833
_cell_length_b 8.833
_cell_length_c 8.833
_cell_angle_alpha 19.20
_cell_angle_beta 19.20
_cell_angle_gamma 19.20
_space_group_name_H-M_alt 'P 1'
_space_group_IT_number 1
_space_group_name_Hall 'P 1'
loop_
_atom_site_label
_atom_site_type_symbol
_atom_site_fract_x
_atom_site_fract_y
_atom_site_fract_z
_atom_site_occupancy
Ni1 Ni 0.000 0.000 0.000 1
Mo1 Mo 0.260 0.260 0.260 1
Mo2 Mo 0.504 0.504 0.504 1
Br1 Br 0.760 0.760 0.760 1
# - Energy above the lowest structure with this stoichiometry: 151 meV per atom
# - Formation energy (no corrections): 0.51 eV/atom
# - Spin magnetization: 0.00 μB per formula unit
# - Electronic total energy: -6.774 eV per atom
# - N(E_F): 1.438 states/eV/atom


[3]
# CeEr3 PBE optimized geometry
data_CeEr3
_cell_length_a 4.951
_cell_length_b 4.951
_cell_length_c 4.951
_cell_angle_alpha 90.00
_cell_angle_beta 90.00
_cell_angle_gamma 90.00
_space_group_name_H-M_alt 'P 1'
_space_group_IT_number 1
_space_group_name_Hall 'P 1'
loop_
_atom_site_label
_atom_site_type_symbol
_atom_site_fract_x
_atom_site_fract_y
_atom_site_fract_z
_atom_site_occupancy
Ce1 Ce 0.000 0.000 0.000 1
Er1 Er 0.000 0.500 0.500 1
Er2 Er 0.500 0.000 0.500 1
Er3 Er 0.500 0.500 0.000 1
# - Formation enthalpy at 0 K: 0.06 eV/atom
# - Energy above the lowest structure with this stoichiometry: 2 meV per atom
# - Spin magnetization: 0.43 μB per formula unit
# - Electronic total energy: -4.841 eV per atom
# - N(E_F): 1.664 states/eV/atom


[4]
# Nd8SnOs2 PBE optimized geometry
data_Nd8SnOs2
_cell_length_a 8.130
_cell_length_b 8.130
_cell_length_c 5.617
_cell_angle_alpha 97.33
_cell_angle_beta 97.33
_cell_angle_gamma 112.15
_space_group_name_H-M_alt 'P 1'
_space_group_IT_number 1
_space_group_name_Hall 'P 1'
loop_
_atom_site_label
_atom_site_type_symbol
_atom_site_fract_x
_atom_site_fract_y
_atom_site_fract_z
_atom_site_occupancy
Nd1 Nd 0.000 0.000 0.000 1
Nd2 Nd 0.062 0.321 0.633 1
Nd3 Nd 0.135 0.635 0.203 1
Nd4 Nd 0.321 0.062 0.633 1
Nd5 Nd 0.450 0.709 0.773 1
Nd6 Nd 0.635 0.135 0.203 1
Nd7 Nd 0.709 0.450 0.773 1
Nd8 Nd 0.771 0.771 0.406 1
Sn1 Sn 0.386 0.386 0.202 1
Os1 Os 0.073 0.698 0.703 1
Os2 Os 0.698 0.073 0.703 1
# - Formation enthalpy at 0 K: -0.15 eV/atom
# - Spin magnetization: 0.00 μB per formula unit
# - Electronic total energy: -6.026 eV per atom
# - N(E_F): 1.017 states/eV/atom


[5]
# TaIn3B PBE optimized geometry
data_TaIn3B
_cell_length_a 4.711
_cell_length_b 4.711
_cell_length_c 4.711
_cell_angle_alpha 90.00
_cell_angle_beta 90.00
_cell_angle_gamma 90.00
_space_group_name_H-M_alt 'P 1'
_space_group_IT_number 1
_space_group_name_Hall 'P 1'
loop_
_atom_site_label
_atom_site_type_symbol
_atom_site_fract_x
_atom_site_fract_y
_atom_site_fract_z
_atom_site_occupancy
Ta1 Ta 0.000 0.000 0.000 1
In1 In 0.000 0.500 0.500 1
In2 In 0.500 0.000 0.500 1
In3 In 0.500 0.500 0.000 1
B1 B 0.500 0.500 0.500 1
# - Formation enthalpy at 0 K: 1.13 eV/atom
# - Energy above the lowest structure with this stoichiometry: 0 meV per atom
# - Spin magnetization: 1.54 μB per formula unit
# - Electronic total energy: -4.220 eV per atom
# - N(E_F): 0.813 states/eV/atom


[6]
# DyHo2GaN PBE optimized geometry
data_DyHo2GaN
_cell_length_a 4.721
_cell_length_b 4.721
_cell_length_c 4.749
_cell_angle_alpha 90.00
_cell_angle_beta 90.00
_cell_angle_gamma 90.00
_space_group_name_H-M_alt 'P 1'
_space_group_IT_number 1
_space_group_name_Hall 'P 1'
loop_
_atom_site_label
_atom_site_type_symbol
_atom_site_fract_x
_atom_site_fract_y
_atom_site_fract_z
_atom_site_occupancy
Dy1 Dy 0.000 0.000 0.000 1
Ho1 Ho 0.000 0.500 0.500 1
Ho2 Ho 0.500 0.000 0.500 1
Ga1 Ga 0.500 0.500 0.000 1
N1 N 0.000 0.000 0.500 1
# - Formation energy (no corrections): -0.98 eV/atom
# - Spin magnetization: 0.00 μB per formula unit
# - Electronic total energy: -6.007 eV per atom
# - N(E_F): 0.481 states/eV/atom


[7]
# Pr4AsRhBr2 PBE optimized geometry
data_Pr4AsRhBr2
_cell_length_a 7.692
_cell_length_b 4.139
_cell_length_c 7.820
_cell_angle_alpha 90.00
_cell_angle_beta 107.06
_cell_angle_gamma 90.00
_space_group_name_H-M_alt 'P 1'
_space_group_IT_number 1
_space_group_name_Hall 'P 1'
loop_
_atom_site_label
_atom_site_type_symbol
_atom_site_fract_x
_atom_site_fract_y
_atom_site_fract_z
_atom_site_occupancy
Pr1 Pr 0.217 0.000 0.200 1
Pr2 Pr 0.257 0.500 0.790 1
Pr3 Pr 0.743 0.500 0.210 1
Pr4 Pr 0.783 0.000 0.800 1
As1 As 0.500 0.000 0.000 1
Rh1 Rh 0.000 0.500 0.000 1
Br1 Br 0.000 0.000 0.500 1
Br2 Br 0.500 0.500 0.500 1
# - Formation energy (no corrections): -1.19 eV/atom
# - Spin magnetization: 0.00 μB per formula unit
# - Electronic total energy: -5.503 eV per atom
# - N(E_F): 0.761 states/eV/atom


[8]
# Ca2AlAg2 PBE optimized geometry
data_Ca2AlAg2
_cell_length_a 9.378
_cell_length_b 9.378
_cell_length_c 9.378
_cell_angle_alpha 156.44
_cell_angle_beta 156.44
_cell_angle_gamma 33.57
_space_group_name_H-M_alt 'P 1'
_space_group_IT_number 1
_space_group_name_Hall 'P 1'
loop_
_atom_site_label
_atom_site_type_symbol
_atom_site_fract_x
_atom_site_fract_y
_atom_site_fract_z
_atom_site_occupancy
Ca1 Ca 0.105 0.105 0.000 1
Ca2 Ca 0.895 0.895 0.000 1
Al1 Al 0.500 0.500 0.000 1
Ag1 Ag 0.250 0.750 0.500 1
Ag2 Ag 0.750 0.250 0.500 1
# - Formation enthalpy at 0 K: -0.09 eV/atom
# - Energy above the lowest structure with this stoichiometry: 238 meV per atom
# - Spin magnetization: 0.00 μB per formula unit
# - Electronic total energy: -2.782 eV per atom
# - N(E_F): 0.629 states/eV/atom


[9]
# BeAg2Pt PBE optimized geometry
data_BeAg2Pt
_cell_length_a 4.978
_cell_length_b 4.978
_cell_length_c 4.978
_cell_angle_alpha 134.86
_cell_angle_beta 134.86
_cell_angle_gamma 65.74
_space_group_name_H-M_alt 'P 1'
_space_group_IT_number 1
_space_group_name_Hall 'P 1'
loop_
_atom_site_label
_atom_site_type_symbol
_atom_site_fract_x
_atom_site_fract_y
_atom_site_fract_z
_atom_site_occupancy
Be1 Be 0.000 0.000 0.000 1
Ag1 Ag 0.250 0.750 0.500 1
Ag2 Ag 0.750 0.250 0.500 1
Pt1 Pt 0.500 0.500 0.000 1
# - Formation enthalpy at 0 K: 0.08 eV/atom
# - Spin magnetization: 0.00 μB per formula unit
# - Electronic total energy: -3.789 eV per atom
# - N(E_F): 0.300 states/eV/atom


[10]
# SmDyPd PBE optimized geometry
data_SmDyPd
_cell_length_a 6.664
_cell_length_b 6.664
_cell_length_c 6.664
_cell_angle_alpha 148.79
_cell_angle_beta 148.79
_cell_angle_gamma 44.72
_space_group_name_H-M_alt 'P 1'
_space_group_IT_number 1
_space_group_name_Hall 'P 1'
loop_
_atom_site_label
_atom_site_type_symbol
_atom_site_fract_x
_atom_site_fract_y
_atom_site_fract_z
_atom_site_occupancy
Sm1 Sm 0.000 0.000 0.000 1
Dy1 Dy 0.276 0.276 0.000 1
Pd1 Pd 0.648 0.648 0.000 1
# - Formation enthalpy at 0 K: -0.52 eV/atom
# - Energy above the lowest structure with this stoichiometry: 67 meV per atom
# - Spin magnetization: 0.00 μB per formula unit
# - Electronic total energy: -5.356 eV per atom
# - N(E_F): 1.039 states/eV/atom


[11]
# Sm2PuZrP4 PBE optimized geometry
data_Sm2PuZrP4
_cell_length_a 6.863
_cell_length_b 3.975
_cell_length_c 6.893
_cell_angle_alpha 90.00
_cell_angle_beta 109.25
_cell_angle_gamma 90.00
_space_group_name_H-M_alt 'P 1'
_space_group_IT_number 1
_space_group_name_Hall 'P 1'
loop_
_atom_site_label
_atom_site_type_symbol
_atom_site_fract_x
_atom_site_fract_y
_atom_site_fract_z
_atom_site_occupancy
Sm1 Sm 0.000 0.000 0.000 1
Sm2 Sm 0.500 0.500 0.000 1
Pu1 Pu 0.000 0.500 0.500 1
Zr1 Zr 0.500 0.000 0.500 1
P1 P 0.251 0.000 0.734 1
P2 P 0.262 0.500 0.268 1
P3 P 0.738 0.500 0.732 1
P4 P 0.749 0.000 0.266 1
# - Formation enthalpy at 0 K: -1.42 eV/atom
# - Spin magnetization: 5.09 μB per formula unit
# - Electronic total energy: -8.164 eV per atom
# - N(E_F): 1.381 states/eV/atom


[12]
# Cs2PuNiBr6 PBE optimized geometry
data_Cs2PuNiBr6
_cell_length_a 7.927
_cell_length_b 7.927
_cell_length_c 6.665
_cell_angle_alpha 90.00
_cell_angle_beta 90.00
_cell_angle_gamma 120.00
_space_group_name_H-M_alt 'P 1'
_space_group_IT_number 1
_space_group_name_Hall 'P 1'
loop_
_atom_site_label
_atom_site_type_symbol
_atom_site_fract_x
_atom_site_fract_y
_atom_site_fract_z
_atom_site_occupancy
Cs1 Cs 0.333 0.667 0.236 1
Cs2 Cs 0.667 0.333 0.764 1
Pu1 Pu 0.000 0.000 0.500 1
Ni1 Ni 0.000 0.000 0.000 1
Br1 Br 0.162 0.324 0.773 1
Br2 Br 0.162 0.838 0.773 1
Br3 Br 0.324 0.162 0.227 1
Br4 Br 0.676 0.838 0.773 1
Br5 Br 0.838 0.162 0.227 1
Br6 Br 0.838 0.676 0.227 1
# - Formation energy (no corrections): -1.33 eV/atom
# - Spin magnetization: 4.00 μB per formula unit
# - Electronic total energy: -4.519 eV per atom
# - N(E_F): 1.715 states/eV/atom